# 1
Here is TmPPdO after structural relaxation from OQMD. Energies are from GGA-PBE.

Summary:
- Distance to the lowest polymorph of the same formula: 0.000 eV/atom
- Crystal system: tetragonal

Cell: 4.009 4.009 7.721 Å, 90.00 90.00 90.00°
Sites, in units of the cell vectors:
O  0.500  0.000  0.000
O  0.000  0.500  0.000
P  0.500  0.500  0.330
P  0.000  0.000  0.670
Pd  0.500  0.000  0.500
Pd  0.000  0.500  0.500
Tm  0.000  0.000  0.130
Tm  0.500  0.500  0.870


# 2
Here is PrZrPd after structural relaxation from OQMD. Energies are from GGA-PBE.

Summary:
- Distance to the lowest polymorph of the same formula: 0.000 eV/atom
- Crystal system: cubic
- ΔE_f: -0.0683 eV per atom

Cell: 4.834 4.834 4.834 Å, 60.00 60.00 60.00°
Each line ends with the local moment (μB).
Sites, in units of the cell vectors:
Pd  0.000  0.000  0.000  0.04
Pr  0.250  0.250  0.250  0.10
Zr  0.750  0.750  0.750  0.34


# 3
Here is AlZnCuTc after structural relaxation from OQMD. Energies are from GGA-PBE.

Summary:
- Distance to the lowest polymorph of the same formula: 0.000 eV/atom
- Crystal system: cubic

Cell: 4.251 4.251 4.251 Å, 60.00 60.00 60.00°
Sites, in units of the cell vectors:
Al  0.000  0.000  0.000
Cu  0.750  0.750  0.750
Tc  0.250  0.250  0.250
Zn  0.500  0.500  0.500


# 4
Here is TlCoAgHg after structural relaxation from OQMD. Energies are from GGA-PBE.

Summary:
- Distance to the lowest polymorph of the same formula: 0.000 eV/atom
- Crystal system: cubic

Cell: 4.748 4.748 4.748 Å, 60.00 60.00 60.00°
Sites, in units of the cell vectors:
Ag  0.250  0.250  0.250
Co  0.750  0.750  0.750
Hg  0.500  0.500  0.500
Tl  0.000  0.000  0.000


# 5
Here is DyTlRe after structural relaxation from OQMD. Energies are from GGA-PBE.

Summary:
- Distance to the lowest polymorph of the same formula: 0.330 eV/atom
- Crystal system: cubic

Cell: 4.817 4.817 4.817 Å, 60.00 60.00 60.00°
Each line ends with the local moment (μB).
Sites, in units of the cell vectors:
Dy  0.000  0.000  0.000  -0.01
Re  0.250  0.250  0.250  1.03
Tl  0.750  0.750  0.750  -0.04


# 6
Here is Nd2Dy2CBr3Cl2 after structural relaxation from OQMD. Energies are from GGA-PBE.

Summary:
- Distance to the lowest polymorph of the same formula: 0.000 eV/atom
- Crystal system: monoclinic

Cell: 8.932 8.932 8.452 Å, 102.95 102.95 25.12°
Sites, in units of the cell vectors:
Br  0.173  0.173  0.327
Br  0.500  0.500  0.500
Br  0.827  0.827  0.673
C  0.500  0.500  0.000
Cl  0.826  0.826  0.136
Cl  0.174  0.174  0.864
Dy  0.642  0.642  0.072
Dy  0.358  0.358  0.928
Nd  0.998  0.998  0.205
Nd  0.002  0.002  0.795


# 7
Here is Al2CoTc after structural relaxation from OQMD. Energies are from GGA-PBE.

Summary:
- Crystal system: cubic

Cell: 4.237 4.237 4.237 Å, 60.00 60.00 60.00°
Sites, in units of the cell vectors:
Al  0.000  0.000  0.000
Al  0.750  0.750  0.750
Co  0.250  0.250  0.250
Tc  0.500  0.500  0.500


# 8
Here is CsPmSc after structural relaxation from OQMD. Energies are from GGA-PBE.

Summary:
- Distance to the lowest polymorph of the same formula: 0.095 eV/atom
- Crystal system: cubic

Cell: 5.368 5.368 5.368 Å, 60.00 60.00 60.00°
Sites, in units of the cell vectors:
Cs  0.000  0.000  0.000
Pm  0.750  0.750  0.750
Sc  0.250  0.250  0.250


Calculated electronic total energy (eV per formula unit), listed in the same order as above: -27.53; -18.70; -19.36; -10.83; -15.56; -52.06; -25.50; -8.00
Calculated size of the total moment (μB per atom), listed in the same order as above: 0.000; 0.259; 0.003; 0.314; 0.331; 0.000; 0.432; 0.005